Below is PrIn4Cl7 after structural relaxation, with properties calculated at the PBE-GGA level.

Raw formation energy: -1273 meV per atom
Crystal system: monoclinic
Magnetic moment: 0.0 μB per formula unit

Cell: 20.990 5.454 7.526 Å, 90.00 107.43 90.00°
Space group C2/m (No. 12)
Unique sites:
Pr: 0.000 0.000 0.000 x2
In: 0.085 0.500 0.625 x4
In: 0.210 0.500 0.240 x4
Cl: 0.000 0.500 0.000 x2
Cl: 0.080 0.000 0.364 x4
Cl: 0.115 0.000 0.888 x4
Cl: 0.221 0.500 0.638 x4